Record 1
Computed, not measured: a PBEsol-optimized structure of LiNi2Cl at the meta-GGA SCAN level of DFT.

Lattice parameters (Å, degrees): 3.245 3.245 5.767 90.00 90.00 90.00
Space group P4/mmm (No. 123)
Inequivalent atoms, fractional coordinates:
Li: 0.000 0.000 0.000 x1
Ni: 0.000 0.500 0.500 x2
Cl: 0.500 0.500 0.000 x1

## Properties
Raw formation energy, eV per atom: -0.18
Total energy, eV per atom: -10.857
Energy above the lowest structure with this stoichiometry, kJ per mole of atoms: 0.0
Total magnetic moment, μB/f.u.: 2.2

---

Record 2
Computed, not measured: a PBEsol-optimized structure of Be2InHg at the meta-GGA SCAN level of DFT.

Lattice parameters (Å, degrees): 5.491 8.426 3.426 90.00 118.58 90.00
Space group C2/m (No. 12)
Inequivalent atoms, fractional coordinates:
Be: 0.250 0.250 0.000 x4
In: 0.000 0.000 0.000 x2
Hg: 0.000 0.500 0.000 x2

## Properties
Total energy, eV per atom: -27.060
Energy above the lowest structure with this stoichiometry, kJ per mole of atoms: 21.0
Energy of formation from the pure elements, eV/atom: 0.5050
Total magnetic moment, μB/f.u.: 0.0

---

Record 3
Computed, not measured: a PBEsol-optimized structure of Cs3PtW at the meta-GGA SCAN level of DFT.

Lattice parameters (Å, degrees): 6.378 6.378 6.378 90.00 90.00 90.00
Space group Pm-3m (No. 221)
Inequivalent atoms, fractional coordinates:
Cs: 0.000 0.000 0.500 x3
Pt: 0.000 0.000 0.000 x1
W: 0.500 0.500 0.500 x1

## Properties
Total energy, eV per atom: -49.338
Energy of formation from the pure elements, eV/atom: 1.3242
Total magnetic moment, μB/f.u.: 5.0